First-principles (PBE+U) data for crystalline Cs2RbMoF6 at its relaxed geometry, as listed in Alexandria via LeMat-Bulk.

## Properties
* E: -48.76 eV per formula unit
* crystal system: cubic
* SG: Fm-3m (225)

Cell lengths 6.788, 6.788, 6.788 Å; angles 60.00, 60.00, 60.00 degrees
Fractional coordinates of all 10 atoms:
Cs1 0.750 0.750 0.750
Cs2 0.250 0.250 0.250
Rb1 0.500 0.500 0.500
Mo1 0.000 0.000 0.000
F1 0.219 0.781 0.781
F2 0.219 0.781 0.219
F3 0.219 0.219 0.781
F4 0.781 0.781 0.219
F5 0.781 0.219 0.219
F6 0.781 0.219 0.781